Record 1
Entry from Alexandria via LeMat-Bulk: a relaxed structure of NbGa3As (PBE-GGA).

Cell lengths 4.8655, 4.8655, 4.8655 Å; angles 90.00, 90.00, 90.00 degrees
Closest atoms and distances in Å follow each position.
Element x y z (fractional)
Nb1 0.5000 0.5000 0.5000  12 Ga 3.44
As1 0.0000 0.0000 0.0000  6 Ga 2.43
Ga1 0.0000 0.5000 0.0000  2 As 2.43
Ga2 0.0000 0.0000 0.5000  2 As 2.43
Ga3 0.5000 0.0000 0.0000  2 As 2.43

As for the energy of formation: 946 meV/atom.

=====

Record 2
Entry from Alexandria via LeMat-Bulk: a relaxed structure of NbGaAs2Pb (PBE-GGA).

Cell lengths 5.0368, 5.1359, 5.0368 Å; angles 90.00, 90.00, 90.00 degrees
Closest atoms and distances in Å follow each position.
Element x y z (fractional)
Pb1 0.5000 0.5000 0.5000  4 Ga 3.56, 8 As 3.60
Nb1 0.0000 0.0000 0.0000  4 As 2.52, 2 Ga 2.57
As1 0.0000 0.0000 0.5000  2 Nb 2.52
As2 0.5000 0.0000 0.0000  2 Nb 2.52
Ga1 0.0000 0.5000 0.0000  2 Nb 2.57

As for the energy of formation: 166 meV/atom.

=====

Record 3
Entry from Alexandria via LeMat-Bulk: a relaxed structure of Nb2GaAsPb (PBE-GGA).

Cell lengths 4.9063, 5.1711, 4.9063 Å; angles 90.00, 90.00, 90.00 degrees
Closest atoms and distances in Å follow each position.
Element x y z (fractional)
Pb1 0.0000 0.5000 0.0000  2 Ga 2.59
Nb1 0.0000 0.0000 0.5000  2 Ga 2.45
Nb2 0.5000 0.0000 0.0000  2 Ga 2.45
As1 0.5000 0.5000 0.5000  4 Pb 3.47, 8 Nb 3.56
Ga1 0.0000 0.0000 0.0000  4 Nb 2.45, 2 Pb 2.59

As for the energy of formation: 1195 meV/atom.

=====

Record 4
Entry from Alexandria via LeMat-Bulk: a relaxed structure of Nb2GaReAs (PBE-GGA).

Cell lengths 4.8953, 4.7337, 4.8953 Å; angles 90.00, 90.00, 90.00 degrees
Closest atoms and distances in Å follow each position.
Element x y z (fractional)
Re1 0.0000 0.0000 0.0000  2 Ga 2.37, 4 Nb 2.45
Nb1 0.0000 0.0000 0.5000  2 Re 2.45
Nb2 0.5000 0.0000 0.0000  2 Re 2.45
As1 0.5000 0.5000 0.5000  8 Nb 3.40, 4 Ga 3.46
Ga1 0.0000 0.5000 0.0000  2 Re 2.37

As for the energy of formation: 924 meV/atom.

=====

Record 5
Entry from Alexandria via LeMat-Bulk: a relaxed structure of NbGaAsS2 (PBE-GGA).

Cell lengths 4.8010, 5.1487, 4.8010 Å; angles 90.00, 90.00, 90.00 degrees
Closest atoms and distances in Å follow each position.
Element x y z (fractional)
S1 0.0000 0.0000 0.5000  2 Nb 2.40
S2 0.5000 0.0000 0.0000  2 Nb 2.40
Nb1 0.0000 0.0000 0.0000  4 S 2.40, 2 As 2.57
As1 0.0000 0.5000 0.0000  2 Nb 2.57
Ga1 0.5000 0.5000 0.5000  4 As 3.39, 8 S 3.52

As for the uncorrected formation energy: -0.162 eV per atom.

=====

Record 6
Entry from Alexandria via LeMat-Bulk: a relaxed structure of NbGaAsSe2 (PBE-GGA).

Cell lengths 5.0697, 5.0697, 5.0845 Å; angles 90.00, 90.00, 90.00 degrees
Closest atoms and distances in Å follow each position.
Element x y z (fractional)
Nb1 0.0000 0.0000 0.0000  4 Se 2.53, 2 As 2.54
Ga1 0.5000 0.5000 0.5000  4 As 3.58, 8 Se 3.59
As1 0.0000 0.0000 0.5000  2 Nb 2.54
Se1 0.0000 0.5000 0.0000  2 Nb 2.53
Se2 0.5000 0.0000 0.0000  2 Nb 2.53

As for the uncorrected formation energy: -0.078 eV per atom.

=====

Record 7
Entry from Alexandria via LeMat-Bulk: a relaxed structure of NbGaAs2Se (PBE-GGA).

Cell lengths 5.0645, 5.0645, 5.0410 Å; angles 90.00, 90.00, 90.00 degrees
Closest atoms and distances in Å follow each position.
Element x y z (fractional)
Nb1 0.0000 0.0000 0.0000  2 Se 2.52, 4 As 2.53
Ga1 0.5000 0.5000 0.5000  8 As 3.57, 4 Se 3.58
As1 0.0000 0.5000 0.0000  2 Nb 2.53
As2 0.5000 0.0000 0.0000  2 Nb 2.53
Se1 0.0000 0.0000 0.5000  2 Nb 2.52

As for the uncorrected formation energy: 0.101 eV per atom.

=====

Record 8
Entry from Alexandria via LeMat-Bulk: a relaxed structure of NbGaAsSe2 (PBE-GGA).

Cell lengths 4.8600, 4.8600, 4.7588 Å; angles 90.00, 90.00, 90.00 degrees
Closest atoms and distances in Å follow each position.
Element x y z (fractional)
Nb1 0.5000 0.5000 0.5000  8 Se 3.40, 4 As 3.44
Ga1 0.0000 0.0000 0.0000  2 As 2.38, 4 Se 2.43
As1 0.0000 0.0000 0.5000  2 Ga 2.38
Se1 0.0000 0.5000 0.0000  2 Ga 2.43
Se2 0.5000 0.0000 0.0000  2 Ga 2.43

As for the uncorrected formation energy: 0.775 eV per atom.

=====

no.,VASP energy (eV/atom)
1,-3.814
2,-5.055
3,-5.110
4,-7.128
5,-5.362
6,-5.021
7,-5.075
8,-4.168